Here is PaTiRePd after structural relaxation from Alexandria via LeMat-Bulk. Energies are from PBE-GGA.

- E_tot: -143.74 eV per cell
- Formation energy: -0.9 eV/f.u.

Unit cell a=6.6488 b=6.6488 c=6.6488 alpha=90.00 beta=90.00 gamma=90.00
With the nearest neighbours (Å) after each atom.
Space group F-43m (No. 216)
Unique sites:
Pa 0.0000 0.0000 0.0000 x4  4 Re 2.88, 4 Pd 2.88
Ti 0.0000 0.0000 0.5000 x4  4 Re 2.88, 4 Pd 2.88
Re 0.2500 0.2500 0.7500 x4  4 Pa 2.88, 4 Ti 2.88
Pd 0.2500 0.2500 0.2500 x4  4 Pa 2.88, 4 Ti 2.88

Here is YPaRePd after structural relaxation from Alexandria via LeMat-Bulk. Energies are from PBE-GGA.

- E_tot: -138.25 eV per cell
- Formation energy: -1.0 eV/f.u.

Unit cell a=6.9521 b=6.9521 c=6.9521 alpha=90.00 beta=90.00 gamma=90.00
With the nearest neighbours (Å) after each atom.
Space group F-43m (No. 216)
Unique sites:
Y 0.0000 0.0000 0.0000 x4  4 Re 3.01, 4 Pd 3.01
Pa 0.0000 0.0000 0.5000 x4  4 Pd 3.01, 4 Re 3.01
Re 0.2500 0.2500 0.2500 x4  4 Pa 3.01, 4 Y 3.01
Pd 0.2500 0.2500 0.7500 x4  4 Pa 3.01, 4 Y 3.01

Here is Pa4PdRh12 after structural relaxation from Alexandria via LeMat-Bulk. Energies are from PBE-GGA.

- E_tot: -284.33 eV per cell
- Formation energy: -10.8 eV/f.u.

Unit cell a=8.3571 b=8.3571 c=8.3571 alpha=90.00 beta=90.00 gamma=90.00
With the nearest neighbours (Å) after each atom.
Space group Im-3m (No. 229)
Unique sites:
Pa 0.2500 0.2500 0.2500 x8  12 Rh 2.95-2.98
Pd 0.0000 0.0000 0.0000 x2  6 Rh 2.49
Rh 0.0000 0.0000 0.2985 x12  1 Pd 2.49, 4 Rh 2.68
Rh 0.0000 0.2500 0.5000 x12  8 Rh 2.68-2.95, 4 Pa 2.95

Here is Pa2PdRh after structural relaxation from Alexandria via LeMat-Bulk. Energies are from PBE-GGA.

- E_tot: -96.11 eV per cell
- Formation energy: -0.5 eV/f.u.

Unit cell a=3.1081 b=3.1081 c=30.0441 alpha=90.00 beta=90.00 gamma=120.00
With the nearest neighbours (Å) after each atom.
Space group R-3m (No. 166, hexagonal axes)
Unique sites:
Pa 0.0000 0.0000 0.0893 x6  1 Pd 2.68, 3 Rh 2.94
Pd 0.0000 0.0000 0.0000 x3  2 Pa 2.68
Rh 0.0000 0.0000 0.5000 x3  6 Pa 2.94, 6 Rh 3.11

Here is Pa2PdRh after structural relaxation from Alexandria via LeMat-Bulk. Energies are from PBE-GGA.

- E_tot: -33.32 eV per cell
- Formation energy: -1.8 eV/f.u.

Unit cell a=4.4193 b=4.4193 c=4.1442 alpha=90.00 beta=90.00 gamma=90.00
With the nearest neighbours (Å) after each atom.
Space group P4/mmm (No. 123)
Unique sites:
Pa 0.0000 0.5000 0.0000 x2  4 Rh 3.03, 4 Pd 3.03, 4 Pa 3.12
Pd 0.0000 0.0000 0.5000 x1  8 Pa 3.03, 4 Rh 3.12
Rh 0.5000 0.5000 0.5000 x1  8 Pa 3.03, 4 Pd 3.12

Here is Pa2PdRh after structural relaxation from Alexandria via LeMat-Bulk. Energies are from PBE-GGA.

- E_tot: -133.39 eV per cell
- Formation energy: -1.8 eV/f.u.

Unit cell a=6.9359 b=6.9359 c=6.9359 alpha=90.00 beta=90.00 gamma=90.00
With the nearest neighbours (Å) after each atom.
Space group Fm-3m (No. 225)
Unique sites:
Pa 0.2500 0.2500 0.2500 x8  4 Rh 3.00, 4 Pd 3.00
Pd 0.0000 0.0000 0.0000 x4  8 Pa 3.00
Rh 0.0000 0.0000 0.5000 x4  8 Pa 3.00

Q: E_tot of number 5 (Pa2PdRh)?
A: -33.32 eV per cell

Q: Which of these has the highest E_tot?
A: number 5

Please write out number 1 again, unchanged.
Here is PaTiRePd after structural relaxation from Alexandria via LeMat-Bulk. Energies are from PBE-GGA.

- E_tot: -143.74 eV per cell
- Formation energy: -0.9 eV/f.u.

Unit cell a=6.6488 b=6.6488 c=6.6488 alpha=90.00 beta=90.00 gamma=90.00
With the nearest neighbours (Å) after each atom.
Space group F-43m (No. 216)
Unique sites:
Pa 0.0000 0.0000 0.0000 x4  4 Re 2.88, 4 Pd 2.88
Ti 0.0000 0.0000 0.5000 x4  4 Re 2.88, 4 Pd 2.88
Re 0.2500 0.2500 0.7500 x4  4 Pa 2.88, 4 Ti 2.88
Pd 0.2500 0.2500 0.2500 x4  4 Pa 2.88, 4 Ti 2.88

Q: Among the records above, which one has the highest formation energy?
A: number 4